1.
# CaTmCu2Sn2

A relaxed CaTmCu2Sn2 crystal (PBE, Alexandria via LeMat-Bulk).

Unit cell a=4.5618 b=4.5618 c=7.4915 alpha=90.00 beta=90.00 gamma=120.00
With the nearest neighbours (Å) after each atom.
Sites, in units of the cell vectors:
Ca 0.0000 0.0000 0.0000  6 Sn 3.33, 6 Cu 3.49
Tm 0.0000 0.0000 0.5000  6 Cu 3.01, 6 Sn 3.14
Cu 0.3333 0.6667 0.6949  3 Sn 2.65
Cu 0.6667 0.3333 0.3051  3 Sn 2.65
Sn 0.3333 0.6667 0.2711  3 Cu 2.65
Sn 0.6667 0.3333 0.7289  3 Cu 2.65

Computed properties:
Space group   No. 164
Formation energy   -3.0 eV per formula unit

2.
# Ca2ZnCu3Sn4

A relaxed Ca2ZnCu3Sn4 crystal (PBE, Alexandria via LeMat-Bulk).

Unit cell a=4.4200 b=4.4200 c=11.2694 alpha=90.00 beta=90.00 gamma=90.00
With the nearest neighbours (Å) after each atom.
Sites, in units of the cell vectors:
Ca 0.0000 0.5000 0.2438  8 Sn 3.35-3.64, 6 Cu 3.40-3.53, 2 Zn 3.53
Ca 0.5000 0.0000 0.7562  8 Sn 3.35-3.64, 6 Cu 3.40-3.53, 2 Zn 3.53
Zn 0.5000 0.5000 0.0000  4 Sn 2.70
Cu 0.0000 0.0000 0.0000  4 Sn 2.70
Cu 0.0000 0.5000 0.6373  5 Sn 2.54-2.70
Cu 0.5000 0.0000 0.3627  5 Sn 2.54-2.70
Sn 0.0000 0.0000 0.5000  4 Cu 2.70
Sn 0.0000 0.5000 0.8631  3 Cu 2.54-2.70, 2 Zn 2.70
Sn 0.5000 0.0000 0.1369  3 Cu 2.54-2.70, 2 Zn 2.70
Sn 0.5000 0.5000 0.5000  4 Cu 2.70

Computed properties:
Space group   No. 115
Formation energy   -3.0 eV per formula unit

3.
# SrCa3Cu2

A relaxed SrCa3Cu2 crystal (PBE, Alexandria via LeMat-Bulk).

Unit cell a=8.9848 b=8.9848 c=12.3755 alpha=122.00 beta=122.00 gamma=27.44
With the nearest neighbours (Å) after each atom.
Sites, in units of the cell vectors:
Sr 0.1521 0.1521 0.2393  4 Cu 3.17-3.46
Sr 0.8479 0.8479 0.7607  4 Cu 3.17-3.46
Ca 0.1564 0.1564 0.7487  3 Cu 3.08-3.10
Ca 0.4127 0.4127 0.0651  3 Cu 2.97-3.02
Ca 0.4137 0.4137 0.5540  3 Cu 3.04-3.06
Ca 0.5863 0.5863 0.4460  3 Cu 3.04-3.06
Ca 0.5873 0.5873 0.9349  3 Cu 2.97-3.02
Ca 0.8436 0.8436 0.2513  3 Cu 3.08-3.10
Cu 0.2332 0.2332 0.5392  2 Cu 2.54
Cu 0.2337 0.2337 0.0396  2 Cu 2.54
Cu 0.7663 0.7663 0.9604  2 Cu 2.54
Cu 0.7668 0.7668 0.4608  2 Cu 2.54

Computed properties:
Space group   No. 12
Formation energy   -0.6 eV per formula unit

Q: What is the formation energy in the third record?
A: -0.6 eV per formula unit